## LaTb2UO8 (GGA-PBE)

Data for crystalline LaTb2UO8 at its relaxed geometry.

Cell and atoms, written as CIF:
```
data_LaTb2UO8
_chemical_formula_sum 'La1 Tb2 U1 O8'
_space_group_name_H-M_alt 'P m m m'
_space_group_IT_number 47
_cell_length_a 3.9272
_cell_length_b 5.3716
_cell_length_c 7.7389
_cell_angle_alpha 90.00
_cell_angle_beta 90.00
_cell_angle_gamma 90.00
loop_
_space_group_symop_operation_xyz
'x,y,z'
'-x,-y,-z'
'-x,-y,z'
'x,y,-z'
'x,-y,-z'
'-x,y,z'
'-x,y,-z'
'x,-y,z'
loop_
_atom_site_label
_atom_site_fract_x
_atom_site_fract_y
_atom_site_fract_z
_atom_site_occupancy
La1 0.0000 0.0000 0.0000 1
Tb1 0.5000 0.5000 0.2635 1
U1 0.0000 0.0000 0.5000 1
O1 0.0000 0.2428 0.2800 1
O2 0.5000 0.2306 0.5000 1
O3 0.5000 0.2740 0.0000 1
```

Output
Crystal system: orthorhombic
DOS(E_F), states/eV/atom: 0.39
E, eV/cell: -104.36
ΔE_f (raw), eV/atom: -3.27